Entry from Alexandria: a geometry-optimized CoN2F structure (PBE with a Hubbard U).

Energy above the lowest structure with this stoichiometry = 1.158 eV/atom
Density of states at the Fermi level = 0.7324 states/eV/atom

Cell and atoms, written as POSCAR:
```
CoN2F
1.0
1.3929 0.8042 6.1924
-1.3929 0.8042 6.1924
0.0000 -1.6083 6.1924
Co N F
1 2 1
direct
0.0000 0.0000 0.0000
0.0877 0.0877 0.0877
0.9123 0.9123 0.9123
0.5000 0.5000 0.5000
```